[1]
Crystalline AcPuSi4 at its relaxed geometry, computed with PBE-GGA.

calculated total energy	-6.936	eV/atom
ΔE to the lowest computed polymorph	1.470	eV/f.u.

a = 7.7925 Å, b = 7.7925 Å, c = 7.7925 Å
α = 90.00°, β = 90.00°, γ = 90.00°
Last column: nearest neighbours and their distance in Å.
Space group F-43m (No. 216)
One atom of each set of equivalent atoms:
Ac  0.0000  0.0000  0.0000  12 Si 3.25, 4 Pu 3.37
Pu  0.2500  0.2500  0.2500  12 Si 3.21, 4 Ac 3.37
Si  0.1175  0.1175  0.6175  3 Si 2.59

---

[2]
Crystalline LiTi2Ga8 at its relaxed geometry, computed with PBE-GGA.

calculated total energy	-3.934	eV/atom
formation energy from the elements	-11.9	kJ per mole of atoms

a = 6.6546 Å, b = 12.1541 Å, c = 5.1971 Å
α = 90.00°, β = 112.33°, γ = 90.00°
Last column: nearest neighbours and their distance in Å.
Space group C2/m (No. 12)
One atom of each set of equivalent atoms:
Li  0.0000  0.0000  0.0000  8 Ga 2.56-2.80
Ti  0.0000  0.2898  0.5000  8 Ga 2.63-2.85
Ga  0.0000  0.2261  0.0000  2 Ti 2.71, 1 Li 2.75, 4 Ga 2.77-2.85
Ga  0.0847  0.5000  0.7648  3 Ga 2.55-2.69, 1 Li 2.56
Ga  0.2180  0.1091  0.7078  2 Ti 2.63-2.78, 6 Ga 2.65-2.88, 1 Li 2.80

---

[3]
Crystalline Nd3CdPd5 at its relaxed geometry, computed with PBE-GGA.

calculated total energy	-5.034	eV/atom
formation energy from the elements	-44.2	kJ per mole of atoms

a = 8.3921 Å, b = 8.3921 Å, c = 11.7052 Å
α = 90.00°, β = 90.00°, γ = 90.00°
Last column: nearest neighbours and their distance in Å.
Space group I4/mcm (No. 140)
One atom of each set of equivalent atoms:
Nd  0.0000  0.0000  0.2500  2 Pd 2.93
Nd  0.1299  0.3701  0.0000  2 Pd 2.65
Cd  0.0000  0.5000  0.2500  4 Pd 2.64
Pd  0.0000  0.0000  0.0000  2 Nd 2.93
Pd  0.1949  0.3051  0.3595  1 Cd 2.64, 1 Nd 2.65, 1 Pd 2.88

---

Please write out number 2 again, unchanged.
Crystalline LiTi2Ga8 at its relaxed geometry, computed with PBE-GGA.

calculated total energy	-3.934	eV/atom
formation energy from the elements	-11.9	kJ per mole of atoms

a = 6.6546 Å, b = 12.1541 Å, c = 5.1971 Å
α = 90.00°, β = 112.33°, γ = 90.00°
Last column: nearest neighbours and their distance in Å.
Space group C2/m (No. 12)
One atom of each set of equivalent atoms:
Li  0.0000  0.0000  0.0000  8 Ga 2.56-2.80
Ti  0.0000  0.2898  0.5000  8 Ga 2.63-2.85
Ga  0.0000  0.2261  0.0000  2 Ti 2.71, 1 Li 2.75, 4 Ga 2.77-2.85
Ga  0.0847  0.5000  0.7648  3 Ga 2.55-2.69, 1 Li 2.56
Ga  0.2180  0.1091  0.7078  2 Ti 2.63-2.78, 6 Ga 2.65-2.88, 1 Li 2.80